Entry from the Alexandria database: crystalline Bi2AuNO at its relaxed geometry (PBE).

The structure in CIF format:
```
data_Bi2AuNO
_chemical_formula_sum 'Bi2 Au1 N1 O1'
_symmetry_space_group_name_H-M 'P 4/m m m'
_symmetry_Int_Tables_number 123
_symmetry_space_group_name_Hall '-P 4 2'
_cell_length_a 4.9191
_cell_length_b 4.9191
_cell_length_c 3.7481
_cell_angle_alpha 90.00
_cell_angle_beta 90.00
_cell_angle_gamma 90.00
loop_
_atom_site_label
_atom_site_fract_x
_atom_site_fract_y
_atom_site_fract_z
_atom_site_occupancy
Bi1 0.0000 0.5000 0.0000 1
Au1 0.0000 0.0000 0.5000 1
N1 0.5000 0.5000 0.0000 1
O1 0.5000 0.5000 0.5000 1
```

Output
Total magnetization: 0.00 μB per formula unit
E_form (uncorrected): 0.5759 eV/atom